SmY2HoTm5 | PBE | relaxed

Calculated values
calculated density = 7747 kg/m³
uncorrected energy = -4.79 eV per atom

Cell: 5.565 19.554 10.540 Å, 90.00 90.00 90.00°
Space group Cmc2_1 (No. 36)
Inequivalent atoms, fractional coordinates:
Sm (0.000, 0.084, 0.000) (multiplicity 4)
Y (0.000, 0.387, 0.864) (multiplicity 4)
Y (0.000, 0.390, 0.279) (multiplicity 4)
Ho (0.000, 0.298, 0.556) (multiplicity 4)
Tm (0.000, 0.021, 0.281) (multiplicity 4)
Tm (0.000, 0.110, 0.566) (multiplicity 4)
Tm (0.000, 0.201, 0.254) (multiplicity 4)
Tm (0.000, 0.217, 0.854) (multiplicity 4)
Tm (0.000, 0.481, 0.570) (multiplicity 4)